Material: RhAuN2
Method: DFT, PBE
State: optimized geometry

Unit cell a=3.9893 b=3.9893 c=3.9893 alpha=60.00 beta=60.00 gamma=60.00
Last column: nearest neighbours and their distance in Å.
Fractional positions:
Rh 0.0000 0.0000 0.0000  8 N 2.44
Au 0.5000 0.5000 0.5000  8 N 2.44
N 0.7500 0.7500 0.7500  4 Au 2.44, 4 Rh 2.44
N 0.2500 0.2500 0.2500  4 Au 2.44, 4 Rh 2.44

Computed properties:
calculated density	12.1	g/cm³
energy relative to the elements, uncorrected	7.16	eV per formula unit
E_tot	-20.11	eV/cell
ΔE to the lowest computed polymorph	1.032	eV per atom
space-group type	Fm-3m